1.
Here is a relaxed structure of CaNi2Au from Alexandria. Energies are from GGA-PBEsol.

a = 2.932 Å, b = 3.665 Å, c = 6.588 Å
α = 90.00°, β = 116.30°, γ = 90.00°
Positions (direct):
Ni  0.203  0.000  0.203
Ni  0.797  0.000  0.797
Ca  0.000  0.500  0.500
Au  0.500  0.500  0.000

Summary:
Electronic total energy   -4.543 eV per atom
Density   9.27 g/cm3
Formation energy from the elements   0.05 eV/atom
Total magnetization   0.0 Bohr magnetons per cell
Symmetry   No. 10


2.
Here is a relaxed structure of CaNi2Au from Alexandria. Energies are from GGA-PBEsol.

a = 3.471 Å, b = 4.213 Å, c = 5.051 Å
α = 114.63°, β = 110.10°, γ = 90.00°
Site moments in Bohr magnetons follow the coordinates.
Positions (direct):
Au  0.488  0.488  0.976  0.01
Ca  0.260  0.760  0.519  -0.01
Ni  0.026  0.026  0.052  0.18
Ni  0.726  0.226  0.452  0.20

Summary:
Electronic total energy   -4.606 eV per atom
Density   9.47 g/cm3
Formation energy from the elements   -0.01 eV/atom
Total magnetization   0.4 Bohr magnetons per cell
Symmetry   No. 44